<1>
The following is a PBE calculation of a geometry-optimized NiHg2Au structure, from the Alexandria database.

Unit cell a=7.4839 b=7.4839 c=5.9968 alpha=51.39 beta=51.39 gamma=90.00
With the nearest neighbours (Å) after each atom.
Element x y z (fractional)
Hg: 0.8750 0.8457 0.7500  2 Ni 2.59, 2 Hg 2.85, 2 Au 2.89
Hg: 0.3750 0.4043 0.7500  2 Ni 2.59, 2 Hg 2.85, 2 Au 2.89
Hg: 0.5957 0.1250 0.2500  2 Ni 2.59, 2 Hg 2.85, 2 Au 2.89
Hg: 0.1543 0.6250 0.2500  2 Ni 2.59, 2 Hg 2.85, 2 Au 2.89
Au: 0.7500 0.2500 0.5000  2 Ni 2.82, 4 Hg 2.89
Au: 0.0000 0.0000 0.0000  2 Ni 2.82, 4 Hg 2.89
Ni: 0.2500 0.7500 0.5000  4 Hg 2.59, 2 Au 2.82
Ni: 0.5000 0.5000 0.0000  4 Hg 2.59, 2 Au 2.82

Values from the calculation:
Its space group is I-42d, No. 122. Its total magnetization is 0.00 μB/f.u.

<2>
The following is a PBE calculation of a geometry-optimized NiHg2Au structure, from the Alexandria database.

Unit cell a=4.7632 b=4.7632 c=5.4041 alpha=77.36 beta=77.36 gamma=38.66
With the nearest neighbours (Å) after each atom.
Element x y z (fractional)
Hg: 0.4879 0.4879 0.5192  3 Ni 2.72-2.91, 3 Au 2.85-2.93, 2 Hg 3.00
Hg: 0.0121 0.0121 0.9808  3 Ni 2.72-2.91, 3 Au 2.85-2.93, 2 Hg 3.00
Ni: 0.7500 0.7500 0.7500  6 Hg 2.72-2.91
Au: 0.2500 0.2500 0.2500  6 Hg 2.85-2.93, 4 Ni 3.13, 2 Au 3.15

Values from the calculation:
Its space group is C2/m, No. 12. Its total magnetization is 0.00 μB/f.u.

<3>
The following is a PBE calculation of a geometry-optimized NiHg2Au structure, from the Alexandria database.

Unit cell a=9.1018 b=9.1018 c=9.1018 alpha=19.57 beta=19.57 gamma=19.57
With the nearest neighbours (Å) after each atom.
Element x y z (fractional)
Au: 0.7500 0.7500 0.7500  6 Hg 3.03, 6 Au 3.09
Hg: 0.5083 0.5083 0.5083  3 Ni 2.69
Hg: 0.9917 0.9917 0.9917  3 Ni 2.69
Ni: 0.2500 0.2500 0.2500  6 Hg 2.69

Values from the calculation:
Its space group is R-3m, No. 166. Its total magnetization is 0.00 μB/f.u.

<4>
The following is a PBE calculation of a geometry-optimized NiHg2Au structure, from the Alexandria database.

Unit cell a=6.6506 b=6.6506 c=4.4806 alpha=70.32 beta=70.32 gamma=25.25
With the nearest neighbours (Å) after each atom.
Element x y z (fractional)
Ni: 0.4985 0.4985 0.5017  6 Hg 2.67-2.74, 2 Au 2.69, 2 Ni 2.91
Hg: 0.0097 0.0097 0.9906  4 Ni 2.67, 2 Hg 2.91
Hg: 0.8078 0.8078 0.6914  2 Ni 2.74, 2 Hg 2.91, 2 Au 3.06
Au: 0.1840 0.1840 0.3163  2 Ni 2.69, 2 Au 2.91

Values from the calculation:
Its space group is Imm2, No. 44. Its total magnetization is 0.00 μB/f.u.

Pick the least stable structure from those above. Pick: <1>